Entry 1:
First-principles (GGA-PBE) data for a geometry-optimized TbZnTe2 structure, as listed in Alexandria via LeMat-Bulk.

Cell: 4.2598 4.2598 23.5683 Å, 90.00 90.00 120.00°
Last column: nearest neighbours and their distance in Å.
Fractional coordinates of all 12 atoms:
Tb 0.0000 0.3421 0.3333  6 Te 3.03-3.15
Tb 0.3421 0.0000 0.6667  6 Te 3.03-3.15
Tb 0.6579 0.6579 0.0000  6 Te 3.03-3.15
Zn 0.0000 0.8322 0.8333  4 Te 2.95-2.96
Zn 0.1678 0.1678 0.5000  4 Te 2.95-2.96
Zn 0.8322 0.0000 0.1667  4 Te 2.95-2.96
Te 0.0141 0.3416 0.9200  2 Zn 2.95-2.96, 3 Tb 3.03-3.15
Te 0.3275 0.9859 0.2534  2 Zn 2.95-2.96, 3 Tb 3.03-3.15
Te 0.3416 0.0141 0.0800  2 Zn 2.95-2.96, 3 Tb 3.03-3.15
Te 0.6584 0.6725 0.5867  2 Zn 2.95-2.96, 3 Tb 3.03-3.15
Te 0.6725 0.6584 0.4133  2 Zn 2.95-2.96, 3 Tb 3.03-3.15
Te 0.9859 0.3275 0.7466  2 Zn 2.95-2.96, 3 Tb 3.03-3.15

Computed properties:
As for the crystal system: trigonal. As for the uncorrected formation energy: -0.7204 eV per atom. The calculation puts the uncorrected energy at -3.7673 eV per atom. For the distance to the lowest polymorph of the same formula, the calculation gives 0.0 meV per atom.



Entry 2:
First-principles (GGA-PBE) data for a geometry-optimized AlH2N2 structure, as listed in Alexandria via LeMat-Bulk.

Cell: 4.6363 4.6363 5.2914 Å, 90.00 90.00 90.00°
Last column: nearest neighbours and their distance in Å.
Fractional coordinates of all 10 atoms:
Al 0.0000 0.0000 0.0000  4 N 1.91
Al 0.5000 0.5000 0.0000  4 N 1.91
H 0.0577 0.4423 0.5000  1 H 0.76
H 0.4423 0.9423 0.5000  1 H 0.76
H 0.5577 0.0577 0.5000  1 H 0.76
H 0.9423 0.5577 0.5000  1 H 0.76
N 0.1003 0.3997 0.0000  1 N 1.32
N 0.3997 0.8997 0.0000  1 N 1.32
N 0.6003 0.1003 0.0000  1 N 1.32
N 0.8997 0.6003 0.0000  1 N 1.32

Computed properties:
As for the crystal system: tetragonal. The calculation puts the uncorrected energy at -5.4191 eV per atom. For the distance to the lowest polymorph of the same formula, the calculation gives 0.0 meV per atom.



Entry 3:
First-principles (GGA-PBE) data for a geometry-optimized SbPbI2O structure, as listed in Alexandria via LeMat-Bulk.

Cell: 6.4706 6.4706 4.2329 Å, 90.00 90.00 90.00°
Last column: nearest neighbours and their distance in Å.
Fractional coordinates of all 5 atoms:
Sb 0.0000 0.0000 0.0000  8 I 3.87, 2 Sb 4.23
Pb 0.5000 0.5000 0.5000  2 O 2.12
I 0.0000 0.5000 0.5000  2 Pb 3.24
I 0.5000 0.0000 0.5000  2 Pb 3.24
O 0.5000 0.5000 0.0000  2 Pb 2.12

Computed properties:
As for the crystal system: tetragonal. As for the uncorrected formation energy: 0.0681 eV per atom. The calculation puts the uncorrected energy at -3.1098 eV per atom. For the distance to the lowest polymorph of the same formula, the calculation gives 367.4 meV per atom.



Entry 4:
First-principles (GGA-PBE) data for a geometry-optimized Na3Tl4Zn structure, as listed in Alexandria via LeMat-Bulk.

Cell: 5.0738 5.0738 9.0087 Å, 105.91 105.91 90.26°
Last column: nearest neighbours and their distance in Å.
Fractional coordinates of all 8 atoms:
Na 0.0000 0.0000 0.0000  8 Tl 3.17-3.19
Na 0.2499 0.2499 0.5012  8 Tl 3.37-3.40, 4 Na 3.57-3.60
Na 0.7501 0.7501 0.4988  8 Tl 3.37-3.40, 4 Na 3.57-3.60
Tl 0.1176 0.6149 0.2300  2 Zn 3.15-3.20, 6 Na 3.17-3.40
Tl 0.3851 0.8824 0.7700  2 Zn 3.15-3.20, 6 Na 3.17-3.40
Tl 0.6149 0.1176 0.2300  2 Zn 3.15-3.20, 6 Na 3.17-3.40
Tl 0.8824 0.3851 0.7700  2 Zn 3.15-3.20, 6 Na 3.17-3.40
Zn 0.5000 0.5000 0.0000  8 Tl 3.15-3.20

Computed properties:
As for the crystal system: monoclinic. The calculation puts the uncorrected energy at -1.8921 eV per atom. The energy of formation comes out at -55 meV/atom.



Entry 5:
First-principles (GGA-PBE) data for a geometry-optimized Zr2ScSe structure, as listed in Alexandria via LeMat-Bulk.

Cell: 5.5904 5.5904 9.0644 Å, 90.00 90.00 143.38°
Last column: nearest neighbours and their distance in Å.
Fractional coordinates of all 8 atoms:
Zr 0.1334 0.8666 0.5395  3 Se 2.78-3.01, 1 Zr 2.92
Zr 0.1334 0.8666 0.9605  3 Se 2.78-3.01, 1 Zr 2.92
Zr 0.8666 0.1334 0.0395  3 Se 2.78-3.01, 1 Zr 2.92
Zr 0.8666 0.1334 0.4605  3 Se 2.78-3.01, 1 Zr 2.92
Sc 0.4379 0.5621 0.7500  3 Se 2.83-3.08
Sc 0.5621 0.4379 0.2500  3 Se 2.83-3.08
Se 0.2716 0.7284 0.2500  6 Zr 2.78-3.01, 3 Sc 2.83-3.08
Se 0.7284 0.2716 0.7500  6 Zr 2.78-3.01, 3 Sc 2.83-3.08

Computed properties:
As for the crystal system: orthorhombic. As for the uncorrected formation energy: -0.7204 eV per atom. The calculation puts the uncorrected energy at -7.4485 eV per atom.



Entry 6:
First-principles (GGA-PBE) data for a geometry-optimized Ba2NaZn structure, as listed in Alexandria via LeMat-Bulk.

Cell: 4.1796 4.1796 9.6320 Å, 90.00 90.00 90.00°
Last column: nearest neighbours and their distance in Å.
Fractional coordinates of all 4 atoms:
Ba 0.0000 0.0000 0.2000  4 Zn 3.53, 1 Ba 3.85
Ba 0.0000 0.0000 0.8000  4 Zn 3.53, 1 Ba 3.85
Na 0.5000 0.5000 0.5000  8 Ba 4.13, 4 Na 4.18
Zn 0.5000 0.5000 0.0000  8 Ba 3.53

Computed properties:
As for the crystal system: tetragonal. The calculation puts the uncorrected energy at -1.7181 eV per atom. The energy of formation comes out at -109 meV/atom.



Entry 7:
First-principles (GGA-PBE) data for a geometry-optimized PrSm5Er structure, as listed in Alexandria via LeMat-Bulk.

Cell: 9.4712 3.6644 14.1828 Å, 90.00 104.69 90.00°
Last column: nearest neighbours and their distance in Å.
Fractional coordinates of all 14 atoms:
Pr 0.1022 0.2500 0.1189  5 Sm 3.42-3.78, 2 Er 3.51, 2 Pr 3.66
Pr 0.8978 0.7500 0.8811  5 Sm 3.42-3.78, 2 Er 3.51, 2 Pr 3.66
Sm 0.0082 0.7500 0.3791  1 Er 3.57, 10 Sm 3.65-3.95
Sm 0.2011 0.2500 0.8771  3 Pr 3.42-3.78, 8 Sm 3.44-3.67
Sm 0.3330 0.2500 0.5088  3 Er 3.46-3.53, 8 Sm 3.49-3.72
Sm 0.3503 0.7500 0.7213  10 Sm 3.44-3.80, 2 Er 3.55
Sm 0.4114 0.7500 0.0776  1 Er 3.44, 9 Sm 3.54-3.66, 2 Pr 3.63
Sm 0.5886 0.2500 0.9224  1 Er 3.44, 9 Sm 3.54-3.66, 2 Pr 3.63
Sm 0.6497 0.2500 0.2787  10 Sm 3.44-3.80, 2 Er 3.55
Sm 0.6670 0.7500 0.4912  3 Er 3.46-3.53, 8 Sm 3.49-3.72
Sm 0.7989 0.7500 0.1229  3 Pr 3.42-3.78, 8 Sm 3.44-3.67
Sm 0.9918 0.2500 0.6209  1 Er 3.57, 10 Sm 3.65-3.95
Er 0.3406 0.7500 0.3036  7 Sm 3.44-3.57, 2 Pr 3.51, 2 Er 3.66
Er 0.6594 0.2500 0.6964  7 Sm 3.44-3.57, 2 Pr 3.51, 2 Er 3.66

Computed properties:
As for the crystal system: monoclinic. The calculation puts the uncorrected energy at -4.6398 eV per atom. For the distance to the lowest polymorph of the same formula, the calculation gives 0.0 meV per atom. The energy of formation comes out at 66 meV/atom.



Entry 8:
First-principles (GGA-PBE) data for a geometry-optimized RbBa2AsRu structure, as listed in Alexandria via LeMat-Bulk.

Cell: 6.4920 6.4920 4.7113 Å, 90.00 90.00 90.00°
Last column: nearest neighbours and their distance in Å.
Fractional coordinates of all 5 atoms:
Rb 0.0000 0.0000 0.0000  8 Ba 4.01
Ba 0.0000 0.5000 0.5000  2 As 3.25
Ba 0.5000 0.0000 0.5000  2 As 3.25
As 0.5000 0.5000 0.5000  2 Ru 2.36
Ru 0.5000 0.5000 0.0000  2 As 2.36

Computed properties:
As for the crystal system: tetragonal. The calculation puts the uncorrected energy at -3.7335 eV per atom. The energy of formation comes out at 14 meV/atom.



Number 1: total magnetization 0.000 μB/atom. Number 2: total magnetization 0.000 μB/atom. Number 3: total magnetization 0.095 μB/atom. Number 4: total magnetization 0.000 μB/atom. Number 5: total magnetization 0.000 μB/atom. Number 6: total magnetization 0.000 μB/atom. Number 7: total magnetization 0.000 μB/atom. Number 8: total magnetization 0.000 μB/atom.